Density functional theory data (GGA+U) for a geometry-optimized SiNiO2 structure.

Cell: 4.5297 5.3527 5.5649 Å, 118.69 113.97 90.09°
Space group P1 (No. 1)
Symmetry-distinct sites (fractional):
Si: 0.0000 0.0000 0.0000
Si: 0.1530 0.5005 0.0000
Ni: 0.4554 0.1279 0.7569
Ni: 0.4546 0.6280 0.7571
O: 0.1448 0.8706 0.7425
O: 0.1896 0.8638 0.2275
O: 0.1906 0.3635 0.2268
O: 0.7506 0.3714 0.7425

Computed properties:
* total energy: -5.800 eV/atom